# TlCoRu2O8

An optimized crystal structure of TlCoRu2O8 (PBE+U, Alexandria).

Structure (POSCAR):
```
TlCoRu2O8
1.0
-4.171 -0.619 3.085
-4.107 -1.963 -2.565
1.655 -7.686 1.848
O Tl Ru Co
8 1 2 1
direct
0.227 0.227 0.960
0.255 0.768 0.188
0.308 0.308 0.597
0.768 0.255 0.188
0.692 0.692 0.403
0.745 0.232 0.812
0.773 0.773 0.040
0.232 0.745 0.812
0.000 0.000 0.500
0.622 0.622 0.207
0.378 0.378 0.793
0.000 0.000 0.000
```

For the total magnetization, the calculation gives 0.020 μB per formula unit. Its energy is -6.276 eV/atom. Its symmetry is C2/m (12).

---

# UCoRuO6

An optimized crystal structure of UCoRuO6 (PBE+U, Alexandria).

Structure (POSCAR):
```
UCoRuO6
1.0
5.100 0.000 0.000
-2.550 4.417 0.000
0.000 0.000 8.991
Ru O Co U
2 12 2 2
direct
0.000 0.000 0.000
0.000 0.000 0.500
0.019 0.339 0.127
0.320 0.339 0.373
0.661 0.680 0.127
0.680 0.019 0.873
0.019 0.680 0.373
0.339 0.320 0.873
0.339 0.019 0.627
0.661 0.981 0.373
0.680 0.661 0.627
0.320 0.981 0.127
0.981 0.320 0.627
0.981 0.661 0.873
0.333 0.667 0.250
0.667 0.333 0.750
0.667 0.333 0.250
0.333 0.667 0.750
```

For the total magnetization, the calculation gives 1.005 μB per formula unit. Its energy is -7.922 eV/atom. Its symmetry is P-31c (163).

---

# Co2RuWO

An optimized crystal structure of Co2RuWO (PBE+U, Alexandria).

Structure (POSCAR):
```
Co2RuWO
1.0
4.850 0.000 0.000
0.000 3.716 0.000
0.000 0.000 4.850
Ru O Co W
1 1 2 1
direct
0.500 0.500 0.500
0.000 0.500 0.000
0.000 0.000 0.500
0.500 0.000 0.000
0.000 0.000 0.000
```

For the total magnetization, the calculation gives 5.366 μB per formula unit. Its energy is -5.245 eV/atom. Its symmetry is P4/mmm (123).

---

- energy of number 2 (UCoRuO6)?
  -7.922 eV/atom